Below is crystalline MnFe2Ir5 at its relaxed geometry, with properties calculated at the GGA-PBE level.

Cell and atoms, written as POSCAR:
```
MnFe2Ir5
1.0
-1.393 -0.068 -3.571
-1.162 -5.194 0.552
-9.668 2.558 3.722
Ir Mn Fe
10 2 4
Cartesian
-2.171 -1.119 -1.190 Ir
-8.361 -3.207 3.322 Ir
-5.260 -3.052 0.052 Ir
-6.962 0.349 0.651 Ir
-2.981 -2.044 1.201 Ir
-5.415 -1.318 2.137 Ir
-7.848 -0.592 3.072 Ir
-2.468 0.571 0.952 Ir
0.000 0.000 0.000 Ir
-10.051 -1.585 1.892 Ir
-4.834 1.279 1.861 Mn
-0.581 -2.597 0.276 Mn
-4.623 -0.424 -0.247 Fe
-2.789 -3.660 -0.901 Fe
-7.599 -2.279 0.949 Fe
-9.433 0.957 1.603 Fe
```

Properties
The value obtained for the raw total energy is -8.8918 eV per atom. Its space-group type is Pbam, No. 55. The formation energy is -92 meV per atom.

=====

Below is crystalline Sc3U at its relaxed geometry, with properties calculated at the GGA-PBE level.

Cell and atoms, written as POSCAR:
```
Sc3U
1.0
-1.182 1.296 -2.510
-3.084 -4.227 -0.729
-4.170 2.483 3.247
U Sc
1 3
Cartesian
-0.094 0.056 0.073 U
-2.773 1.947 0.443 Sc
-2.821 -1.352 0.631 Sc
-5.529 0.556 1.024 Sc
```

Properties
The value obtained for the raw total energy is -7.3457 eV per atom. Its space-group type is Pmm2, No. 25. The value obtained for the distance to the lowest polymorph of the same formula is 9 meV per atom. The formation energy is 225 meV per atom.

=====

Below is crystalline RbMgIn2Pb5 at its relaxed geometry, with properties calculated at the GGA-PBE level.

Cell and atoms, written as POSCAR:
```
RbMgIn2Pb5
1.0
-4.950 0.632 1.714
-1.827 -1.802 -4.611
0.079 -11.923 4.628
Pb In Rb Mg
5 2 1 1
Cartesian
-2.465 -1.243 1.462 Pb
-0.844 -11.265 1.718 Pb
0.040 -5.961 2.314 Pb
-2.406 -10.048 4.880 Pb
-0.903 -2.460 -1.700 Pb
0.021 -3.226 1.252 In
0.058 -8.697 3.376 In
-3.349 -6.546 0.866 Rb
0.000 0.000 0.000 Mg
```

Properties
The value obtained for the raw total energy is -2.7991 eV per atom. Its space-group type is P4/mmm, No. 123. The formation energy is 154 meV per atom.

=====

Number 1: M_tot 3.28 μB per formula unit. Number 2: M_tot 2.84 μB per formula unit. Number 3: M_tot 0.00 μB per formula unit.